(1)
Density functional theory data (PBE) for a geometry-optimized NbOsRu2 structure.

a b c (Å): 3.915 3.915 7.847
angles (deg): 90.00 90.00 90.00
Space group I4/mmm (No. 139)
Unique sites:
1 Nb 0.000 0.000 0.000 x2
2 Os 0.000 0.000 0.500 x2
3 Ru 0.000 0.500 0.250 x4

energy relative to the elements = -0.226 eV/f.u.



(2)
Density functional theory data (PBE) for a geometry-optimized NbOsRu2S structure.

a b c (Å): 4.243 4.243 4.548
angles (deg): 90.00 90.00 90.00
Space group P4/mmm (No. 123)
Unique sites:
1 Nb 0.000 0.000 0.000 x1
2 Os 0.500 0.500 0.000 x1
3 Ru 0.000 0.500 0.500 x2
4 S 0.000 0.000 0.500 x1

energy relative to the elements, uncorrected = 3.212 eV/f.u.